K3DyNp2O9: optimized geometry, PBE-GGA.

a b c (Å): 6.076 6.076 7.444
angles (deg): 90.00 90.00 120.00
Element x y z (fractional)
K 0.333 0.667 0.662
K 0.000 0.000 0.000
K 0.667 0.333 0.338
O 0.825 0.650 0.678
O 0.500 0.500 0.000
O 0.175 0.825 0.322
O 0.650 0.825 0.322
O 0.825 0.175 0.678
O 0.500 0.000 0.000
O 0.175 0.350 0.322
O 0.350 0.175 0.678
O 0.000 0.500 0.000
Np 0.333 0.667 0.167
Np 0.667 0.333 0.833
Dy 0.000 0.000 0.500

Calculated values
SG   No. 164
Magnetic moment   2.00 μB per formula unit
V   15.9 Å³ per atom
Fermi-level density of states   0.01 states/eV/atom
E_form (uncorrected)   -40.89 eV per formula unit
VASP energy   -7.95 eV per atom